[1]
Material: CaTiSeN2
Method: DFT, PBE-GGA
State: relaxed

a = 4.176 Å, b = 4.176 Å, c = 5.420 Å
α = 90.00°, β = 90.00°, γ = 90.00°
Last column: magnetic moment on the atom in μB.
Sites, in units of the cell vectors:
Ca 0.000 0.000 0.000  0.05
N 0.000 0.500 0.000  0.44
N 0.500 0.000 0.000  0.44
Se 0.000 0.000 0.500  0.04
Ti 0.500 0.500 0.500  0.43

Output
formation energy from raw total energies = 1240 meV per atom
E = -23.83 eV/cell
total moment = 1.8 μB per cell
space-group type = P4/mmm
offset from the most stable computed form = 1.792 eV per atom

---

[2]
Material: CaTiSe2N
Method: DFT, PBE-GGA
State: relaxed

a = 5.156 Å, b = 5.156 Å, c = 3.841 Å
α = 90.00°, β = 90.00°, γ = 90.00°
Last column: magnetic moment on the atom in μB.
Sites, in units of the cell vectors:
Ca 0.500 0.500 0.500  0.00
N 0.000 0.000 0.500  0.39
Se 0.000 0.500 0.000  0.10
Se 0.500 0.000 0.000  0.10
Ti 0.000 0.000 0.000  -0.06

Output
formation energy from raw total energies = -923 meV per atom
E = -29.80 eV/cell
total moment = 0.8 μB per cell
space-group type = P4/mmm
offset from the most stable computed form = 0.000 eV per atom